VASP calculation (PBE) on a relaxed Tb5GeTe2 crystal.

ΔE_f (raw) in eV/atom: -0.678
Calculated total energy in eV for the cell shown: -157.90

```
data_Tb5GeTe2
_cell_length_a 5.9400
_cell_length_b 12.3467
_cell_length_c 13.8164
_cell_angle_alpha 90.00
_cell_angle_beta 90.00
_cell_angle_gamma 90.00
_symmetry_space_group_name_H-M 'C m c m'
_symmetry_Int_Tables_number 63
_symmetry_space_group_name_Hall '-C 2c 2'
loop_
_atom_site_label
_atom_site_type_symbol
_atom_site_fract_x
_atom_site_fract_y
_atom_site_fract_z
Tb1 Tb 0.0000 0.0535 0.1233
Tb2 Tb 0.0000 0.3156 0.7500
Tb3 Tb 0.0000 0.3820 0.0948
Ge1 Ge 0.0000 0.2321 0.2500
Te1 Te 0.0000 0.1880 0.5591
```

VASP calculation (PBE) on a relaxed AlTl2As crystal.

Offset from the most stable computed form in eV per formula unit: 1.200
Calculated total energy in eV for the cell shown: -12.14
Formation energy from the elements in meV per atom: 247

```
data_AlTl2As
_cell_length_a 4.5479
_cell_length_b 4.5479
_cell_length_c 4.8921
_cell_angle_alpha 90.00
_cell_angle_beta 90.00
_cell_angle_gamma 90.00
_symmetry_space_group_name_H-M 'P 4/m m m'
_symmetry_Int_Tables_number 123
_symmetry_space_group_name_Hall '-P 4 2'
loop_
_atom_site_label
_atom_site_type_symbol
_atom_site_fract_x
_atom_site_fract_y
_atom_site_fract_z
Al1 Al 0.0000 0.0000 0.0000
Tl1 Tl 0.0000 0.5000 0.5000
As1 As 0.5000 0.5000 0.0000
```

VASP calculation (PBE) on a relaxed PaRe4Se8 crystal.

ΔE_f (raw) in eV/atom: -0.111
Calculated total energy in eV for the cell shown: -265.84

```
data_PaRe4Se8
_cell_length_a 7.5779
_cell_length_b 7.5779
_cell_length_c 17.4538
_cell_angle_alpha 90.00
_cell_angle_beta 90.00
_cell_angle_gamma 120.00
_symmetry_space_group_name_H-M 'R -3 m'
_symmetry_Int_Tables_number 166
_symmetry_space_group_name_Hall '-R 3 2"'
loop_
_atom_site_label
_atom_site_type_symbol
_atom_site_fract_x
_atom_site_fract_y
_atom_site_fract_z
Pa1 Pa 0.0000 0.0000 0.0000
Re1 Re 0.0000 0.0000 0.5000
Re2 Re 0.0000 0.5000 0.5000
Se1 Se 0.0000 0.0000 0.2445
Se2 Se 0.0131 0.5065 0.2436
```

- Among the records above, which one has the lowest calculated total energy?
  PaRe4Se8

- Which formula does entry 1 have?
  Tb5GeTe2

- calculated total energy of number 3 (PaRe4Se8)?
  -265.84 eV for the cell shown

- Number 1 is which compound?
  Tb5GeTe2